(1)
! CaLaTe2, single point on PBEsol structure, DFT meta-GGA SCAN; values from VASP
! Volume (Å³ per atom): 28.99
! SG: P2/m, No. 10
! Formation energy (no corrections) (meV per atom): -1540
! VASP energy (eV/cell): -133.4
! Fermi-level density of states (states/eV per atom): 0.477
&SYSTEM
  ibrav = 0, nat = 4, ntyp = 3
/
ATOMIC_SPECIES
Ca 40.08 Ca.upf
La 138.91 La.upf
Te 127.60 Te.upf
CELL_PARAMETERS angstrom
3.8716 0.0000 0.0000
0.0000 3.8719 0.0000
-0.2285 0.0000 7.7366
ATOMIC_POSITIONS crystal
Ca 0.0000 0.0000 0.0000
La 0.0000 0.0000 0.5000
Te 0.4887 0.5000 0.2511
Te 0.5113 0.5000 0.7489



(2)
! K3Pd2O4, single point on PBEsol structure, DFT meta-GGA SCAN; values from VASP
! Volume (Å³ per atom): 17.47
! SG: Cmcm, No. 63
! Formation energy (no corrections) (meV per atom): -1204
! VASP energy (eV/cell): -252.6
! Fermi-level density of states (states/eV per atom): 0.340
&SYSTEM
  ibrav = 0, nat = 18, ntyp = 3
/
ATOMIC_SPECIES
K 39.10 K.upf
Pd 106.42 Pd.upf
O 16.00 O.upf
CELL_PARAMETERS angstrom
3.0451 -4.5925 0.0000
3.0451 4.5925 0.0000
0.0000 0.0000 11.2459
ATOMIC_POSITIONS crystal
K 0.1475 0.8525 0.5676
K 0.1475 0.8525 0.9324
K 0.2134 0.7866 0.2500
K 0.7866 0.2134 0.7500
K 0.8525 0.1475 0.0676
K 0.8525 0.1475 0.4324
Pd 0.4224 0.5776 0.7500
Pd 0.5000 0.5000 0.0000
Pd 0.5000 0.5000 0.5000
Pd 0.5776 0.4224 0.2500
O 0.2036 0.3723 0.6146
O 0.2036 0.3723 0.8854
O 0.3723 0.2036 0.1146
O 0.3723 0.2036 0.3854
O 0.6277 0.7964 0.6146
O 0.6277 0.7964 0.8854
O 0.7964 0.6277 0.1146
O 0.7964 0.6277 0.3854



(3)
! CrSbI2, single point on PBEsol structure, DFT meta-GGA SCAN; values from VASP
! Volume (Å³ per atom): 32.09
! SG: I-42d, No. 122
! Formation energy (no corrections) (meV per atom): 83
! VASP energy (eV/cell): -257.6
! Fermi-level density of states (states/eV per atom): 0.597
&SYSTEM
  ibrav = 0, nat = 8, ntyp = 3
/
ATOMIC_SPECIES
Cr 52.00 Cr.upf
Sb 121.76 Sb.upf
I 126.90 I.upf
CELL_PARAMETERS angstrom
-4.9809 4.9809 2.5868
4.9809 -4.9809 2.5868
4.9809 4.9809 -2.5868
ATOMIC_POSITIONS crystal
Cr 0.0000 0.0000 0.0000
Cr 0.7500 0.2500 0.5000
Sb 0.2500 0.7500 0.5000
Sb 0.5000 0.5000 0.0000
I 0.3750 0.0268 0.1518
I 0.7768 0.6250 0.6518
I 0.8750 0.2232 0.8482
I 0.9732 0.1250 0.3482



(4)
! KBaTc, single point on PBEsol structure, DFT meta-GGA SCAN; values from VASP
! Volume (Å³ per atom): 34.99
! SG: F-43m, No. 216
! Energy relative to the elements (eV per atom): 1.480
! VASP energy (eV/cell): -78.5
! Fermi-level density of states (states/eV per atom): 0.411
&SYSTEM
  ibrav = 0, nat = 3, ntyp = 3
/
ATOMIC_SPECIES
K 39.10 K.upf
Ba 137.33 Ba.upf
Tc 98.00 Tc.upf
CELL_PARAMETERS angstrom
0.0000 3.7440 3.7440
3.7440 0.0000 3.7440
3.7440 3.7440 0.0000
ATOMIC_POSITIONS crystal
K 0.0000 0.0000 0.0000
Ba 0.7500 0.7500 0.7500
Tc 0.5000 0.5000 0.5000



(5)
! Mg2TaP, single point on PBEsol structure, DFT meta-GGA SCAN; values from VASP
! Volume (Å³ per atom): 17.58
! SG: Imm2, No. 44
! Energy relative to the elements (eV per atom): 0.008
! VASP energy (eV/cell): -86.9
! Fermi-level density of states (states/eV per atom): 0.482
&SYSTEM
  ibrav = 0, nat = 4, ntyp = 3
/
ATOMIC_SPECIES
Mg 24.30 Mg.upf
Ta 180.95 Ta.upf
P 30.97 P.upf
CELL_PARAMETERS angstrom
-1.6682 2.2960 4.5894
1.6682 -2.2960 4.5894
1.6682 2.2960 -4.5894
ATOMIC_POSITIONS crystal
Mg 0.0000 0.0000 0.0000
Mg 0.7103 0.2103 0.5000
Ta 0.4281 0.4281 0.0000
P 0.2325 0.7325 0.5000



(6)
! Cr7P6O24, single point on PBEsol structure, DFT meta-GGA SCAN; values from VASP
! Volume (Å³ per atom): 10.81
! SG: P-1, No. 2
! Formation energy (no corrections) (meV per atom): -2458
! VASP energy (eV/cell): -431.6
! Fermi-level density of states (states/eV per atom): 0.132
&SYSTEM
  ibrav = 0, nat = 37, ntyp = 3
/
ATOMIC_SPECIES
Cr 52.00 Cr.upf
P 30.97 P.upf
O 16.00 O.upf
CELL_PARAMETERS angstrom
6.2519 0.0000 0.0000
-1.4974 7.7979 0.0000
-2.9148 -3.2032 8.2032
ATOMIC_POSITIONS crystal
Cr 0.0000 0.0000 0.0000
Cr 0.0481 0.7107 0.5214
Cr 0.2883 0.8253 0.2998
Cr 0.3808 0.4607 0.1101
Cr 0.6192 0.5393 0.8899
Cr 0.7117 0.1747 0.7002
Cr 0.9519 0.2893 0.4786
P 0.0943 0.5974 0.8347
P 0.2227 0.1383 0.7649
P 0.3935 0.2411 0.3671
P 0.6065 0.7589 0.6329
P 0.7773 0.8617 0.2351
P 0.9057 0.4026 0.1653
O 0.0056 0.1794 0.6530
O 0.0730 0.5505 0.6544
O 0.1192 0.7957 0.9199
O 0.1207 0.5337 0.1613
O 0.2020 0.9369 0.7024
O 0.2198 0.1949 0.9406
O 0.2478 0.2882 0.4675
O 0.2678 0.0419 0.2312
O 0.3166 0.5429 0.9196
O 0.3652 0.7502 0.5060
O 0.4449 0.3735 0.2837
O 0.4550 0.2528 0.7657
O 0.5450 0.7472 0.2343
O 0.5551 0.6265 0.7163
O 0.6348 0.2498 0.4940
O 0.6834 0.4571 0.0804
O 0.7322 0.9581 0.7688
O 0.7522 0.7118 0.5325
O 0.7802 0.8051 0.0594
O 0.7980 0.0631 0.2976
O 0.8793 0.4663 0.8387
O 0.8808 0.2043 0.0801
O 0.9270 0.4495 0.3456
O 0.9944 0.8206 0.3470



(7)
! CaFe2Os, single point on PBEsol structure, DFT meta-GGA SCAN; values from VASP
! Volume (Å³ per atom): 14.63
! SG: F-43m, No. 216
! Energy relative to the elements (eV per atom): 0.721
! VASP energy (eV/cell): -114.9
! Fermi-level density of states (states/eV per atom): 0.775
&SYSTEM
  ibrav = 0, nat = 4, ntyp = 3
/
ATOMIC_SPECIES
Ca 40.08 Ca.upf
Fe 55.84 Fe.upf
Os 190.23 Os.upf
CELL_PARAMETERS angstrom
0.0000 3.0812 3.0812
3.0812 0.0000 3.0812
3.0812 3.0812 0.0000
ATOMIC_POSITIONS crystal
Ca 0.0000 0.0000 0.0000
Fe 0.2500 0.2500 0.2500
Fe 0.5000 0.5000 0.5000
Os 0.7500 0.7500 0.7500



(8)
! SrY2W, single point on PBEsol structure, DFT meta-GGA SCAN; values from VASP
! Volume (Å³ per atom): 26.00
! SG: I-4m2, No. 119
! Energy relative to the elements (eV per atom): 0.913
! VASP energy (eV/cell): -144.0
! Fermi-level density of states (states/eV per atom): 0.818
&SYSTEM
  ibrav = 0, nat = 4, ntyp = 3
/
ATOMIC_SPECIES
Sr 87.62 Sr.upf
Y 88.91 Y.upf
W 183.84 W.upf
CELL_PARAMETERS angstrom
-2.3468 2.3468 4.7210
2.3468 -2.3468 4.7210
2.3468 2.3468 -4.7210
ATOMIC_POSITIONS crystal
Sr 0.0000 0.0000 0.0000
Y 0.2500 0.7500 0.5000
Y 0.5000 0.5000 0.0000
W 0.7500 0.2500 0.5000



- Which of these has the highest volume?
  KBaTc



- What is the volume in the third record?
  32.09 Å³ per atom